This record from Alexandria describes a geometry-optimized CoPHS2 structure. The functional is GGA-PBE.

**D(E_F)**: 0.9912 states/eV/atom
**Final energy**: -3.8621 eV/atom
**SG**: P4/mmm (123)

Lattice parameters (Å, degrees): 4.529 4.529 4.199 90.00 90.00 90.00
Fractional coordinates of all 5 atoms:
Co1 0.000 0.000 0.000
P1 0.000 0.000 0.500
H1 0.500 0.500 0.500
S1 0.000 0.500 0.000
S2 0.500 0.000 0.000